Record 1
Entry from Alexandria: crystalline RbNbN3 at its relaxed geometry (PBE-GGA).

Lattice parameters (Å, degrees): 4.222 4.222 4.222 90.00 90.00 90.00
Sites, in units of the cell vectors:
Rb1 0.000 0.000 0.000
Nb1 0.500 0.500 0.500
N1 0.000 0.500 0.500
N2 0.500 0.000 0.500
N3 0.500 0.500 0.000

Summary:
**Space-group type**: Pm-3m
**Density of states at the Fermi level**: 0.27 states/eV/atom

***

Record 2
Entry from Alexandria: crystalline RbNb3N at its relaxed geometry (PBE-GGA).

Lattice parameters (Å, degrees): 4.479 4.479 4.479 90.00 90.00 90.00
Sites, in units of the cell vectors:
Rb1 0.000 0.000 0.000
Nb1 0.000 0.500 0.500
Nb2 0.500 0.000 0.500
Nb3 0.500 0.500 0.000
N1 0.500 0.500 0.500

Summary:
**Space-group type**: Pm-3m
**Density of states at the Fermi level**: 1.17 states/eV/atom
**Polymorph energy (0 for the lowest one)**: 0.000 eV per atom

***

| no. | formation energy without anion corrections (meV/atom) | electronic total energy (eV/atom) |
| --- | --- | --- |
| 1 | 315 | -6.89 |
| 2 | 788 | -7.11 |